Ca2LaAs | the Alexandria database | PBE | optimized geometry; density = 4.11 g/cm3; DFT formation energy = -201.3 meV/atom; crystal system = cubic
1.0
7.8000 0.0000 0.0000
0.0000 7.8000 0.0000
0.0000 0.0000 7.8000
Ca La As
8 4 4
direct
0.0000 0.0000 0.0000
0.0000 0.5000 0.5000
0.2500 0.2500 0.2500
0.2500 0.7500 0.7500
0.5000 0.0000 0.5000
0.5000 0.5000 0.0000
0.7500 0.2500 0.7500
0.7500 0.7500 0.2500
0.2500 0.2500 0.7500
0.2500 0.7500 0.2500
0.7500 0.2500 0.2500
0.7500 0.7500 0.7500
0.0000 0.0000 0.5000
0.0000 0.5000 0.0000
0.5000 0.0000 0.0000
0.5000 0.5000 0.5000